Ti3InO | PBE-GGA | relaxed

## Properties
Energy relative to the elements, uncorrected ... 0.06 eV/atom
Theoretical density ... 3.39 g cm⁻³
Spin magnetization ... 0.73 μB per atom
DOS(E_F) ... 8.77 states/eV/f.u.
Final energy ... -6.22 eV/atom

```
Ti3InO
1.0
3.3095 0.0000 4.7227
-1.6547 2.8661 4.7227
-1.6547 -2.8661 4.7227
Ti In O
3 1 1
direct
0.8284 0.8284 0.3264
0.8284 0.3264 0.8284
0.3264 0.8284 0.8284
0.8269 0.8269 0.8269
0.0650 0.0650 0.0650
```

***

Ti3InO | PBE-GGA | relaxed

## Properties
Energy relative to the elements, uncorrected ... -1.06 eV/atom
Theoretical density ... 5.67 g cm⁻³
Spin magnetization ... 0.00 μB per atom
DOS(E_F) ... 2.79 states/eV/f.u.
Final energy ... -7.33 eV/atom

```
Ti3InO
1.0
-0.9892 -2.0049 2.0481
-2.0406 -4.8630 -5.7461
5.1754 -5.2189 -2.6093
Ti In O
6 2 2
direct
0.3632 0.3867 0.4390
0.3632 0.0016 0.0539
0.8632 0.7147 0.4145
0.8632 0.3622 0.7670
0.8632 0.0262 0.7259
0.8632 0.6736 0.0784
0.8636 0.1941 0.2464
0.3633 0.6942 0.7464
0.3632 0.1942 0.7464
0.3632 0.6941 0.2464
```

***

Ti3InO | PBE-GGA | relaxed

## Properties
Energy relative to the elements, uncorrected ... -0.94 eV/atom
Theoretical density ... 5.23 g cm⁻³
Spin magnetization ... 0.00 μB per atom
DOS(E_F) ... 1.97 states/eV/f.u.
Final energy ... -7.21 eV/atom

```
Ti3InO
1.0
0.0000 5.5840 5.5840
5.5840 0.0000 5.5840
5.5840 5.5840 0.0000
Ti In O
12 4 4
direct
0.8216 0.1784 0.8216
0.1784 0.8216 0.8216
0.0716 0.0716 0.4284
0.0716 0.4284 0.4284
0.1784 0.1784 0.8216
0.0716 0.4284 0.0716
0.8216 0.1784 0.1784
0.8216 0.8216 0.1784
0.4284 0.4284 0.0716
0.4284 0.0716 0.0716
0.4284 0.0716 0.4284
0.1784 0.8216 0.1784
0.6250 0.6250 0.6250
0.6250 0.6250 0.1250
0.1250 0.6250 0.6250
0.6250 0.1250 0.6250
0.1250 0.6250 0.1250
0.1250 0.1250 0.1250
0.1250 0.1250 0.6250
0.6250 0.1250 0.1250
```

***

Ti2InO | PBE-GGA | relaxed

## Properties
Polymorph energy (0 for the lowest one) ... 104 meV/atom
Energy relative to the elements, uncorrected ... -1.18 eV/atom
Theoretical density ... 5.67 g cm⁻³
Spin magnetization ... 0.00 μB per atom
DOS(E_F) ... 2.61 states/eV/f.u.
Final energy ... -7.05 eV/atom

```
Ti2InO
1.0
-0.4598 -2.2447 2.1137
2.8409 -5.1292 -4.8290
10.2674 1.7922 4.1367
In Ti O
4 8 4
direct
0.2500 0.0686 0.1206
0.7500 0.9314 0.8794
0.2500 0.5686 0.3794
0.7500 0.4314 0.6206
0.2500 0.2376 0.7937
0.2500 0.7376 0.7063
0.7500 0.0336 0.6106
0.7500 0.5336 0.8894
0.2500 0.9664 0.3894
0.2500 0.4664 0.1106
0.7500 0.7624 0.2063
0.7500 0.2624 0.2937
0.7500 0.1219 0.4415
0.2500 0.8781 0.5585
0.2500 0.3781 0.9415
0.7500 0.6219 0.0585
```

***

Ti6In3O | PBE-GGA | relaxed

## Properties
Polymorph energy (0 for the lowest one) ... 104 meV/atom
Energy relative to the elements, uncorrected ... -0.46 eV/atom
Theoretical density ... 6.00 g cm⁻³
Spin magnetization ... 0.00 μB per atom
DOS(E_F) ... 9.42 states/eV/f.u.
Final energy ... -6.51 eV/atom

```
Ti6In3O
1.0
2.9532 0.0000 0.0000
0.0000 11.7788 -0.8625
0.0000 -0.6391 10.3532
Ti O In
12 2 6
direct
0.7500 0.0323 0.6292
0.2500 0.5120 0.1137
0.2500 0.9677 0.3708
0.7500 0.3481 0.3280
0.2500 0.0681 0.9277
0.7500 0.4880 0.8863
0.2500 0.1385 0.2106
0.7500 0.7903 0.5210
0.7500 0.8615 0.7894
0.2500 0.6519 0.6720
0.2500 0.2097 0.4790
0.7500 0.9319 0.0723
0.2500 0.9770 0.7533
0.7500 0.0230 0.2467
0.7500 0.2915 0.0489
0.7500 0.7431 0.2306
0.7500 0.4267 0.6042
0.2500 0.7085 0.9511
0.2500 0.2569 0.7694
0.2500 0.5733 0.3958
```

***

Ti3InO | PBE-GGA | relaxed

## Properties
Energy relative to the elements, uncorrected ... -0.75 eV/atom
Theoretical density ... 5.42 g cm⁻³
Spin magnetization ... 0.00 μB per atom
DOS(E_F) ... 5.90 states/eV/f.u.
Final energy ... -7.03 eV/atom

```
Ti3InO
1.0
4.4020 0.0000 3.3385
-2.2010 3.8122 3.3385
-2.2010 -3.8122 3.3385
In Ti O
2 6 2
direct
0.0000 0.0000 0.0000
0.5000 0.5000 0.5000
0.5009 0.7500 0.9991
0.9991 0.5009 0.7500
0.7500 0.9991 0.5009
0.0009 0.4991 0.2500
0.4991 0.2500 0.0009
0.2500 0.0009 0.4991
0.7500 0.7500 0.7500
0.2500 0.2500 0.2500
```

***

Ti2In2O7 | PBE-GGA | relaxed

## Properties
Energy relative to the elements, uncorrected ... -2.24 eV/atom
Theoretical density ... 5.70 g cm⁻³
Spin magnetization ... 0.00 μB per atom
Final energy ... -7.33 eV/atom

```
Ti2In2O7
1.0
1.4340 5.7045 4.0023
-1.7345 0.0316 6.8997
5.0990 -0.3191 4.9512
O In Ti
14 4 4
direct
0.2074 0.2074 0.7926
0.4574 0.4574 0.0426
0.4574 0.0426 0.0426
0.2074 0.7926 0.2074
0.7926 0.7926 0.2074
0.5000 0.5000 0.5000
0.0426 0.4574 0.4574
0.7500 0.7500 0.7500
0.0426 0.0426 0.4574
0.7926 0.2074 0.2074
0.4574 0.0426 0.4574
0.7926 0.2074 0.7926
0.2074 0.7926 0.7926
0.0426 0.4574 0.0426
0.6250 0.6250 0.1250
0.6250 0.1250 0.6250
0.1250 0.6250 0.6250
0.6250 0.6250 0.6250
0.6250 0.1250 0.1250
0.1250 0.1250 0.6250
0.1250 0.6250 0.1250
0.1250 0.1250 0.1250
```

***

Ti3InO | PBE-GGA | relaxed

## Properties
Energy relative to the elements, uncorrected ... -0.96 eV/atom
Theoretical density ... 5.58 g cm⁻³
Spin magnetization ... 0.08 μB per atom
DOS(E_F) ... 2.65 states/eV/f.u.
Final energy ... -7.24 eV/atom

```
Ti3InO
1.0
-18.0913 -6.0452 11.7407
-8.2672 -2.1515 1.9605
7.9357 -0.2578 -3.7119
O In Ti
2 2 6
direct
0.6424 0.0264 0.9736
0.3576 0.9736 0.0264
0.7951 0.0656 0.9344
0.2049 0.9344 0.0656
0.0224 0.3975 0.6025
0.6884 0.5554 0.4446
0.3431 0.5768 0.4232
0.3116 0.4446 0.5554
0.6569 0.4232 0.5768
0.9776 0.6025 0.3975
```

***

Ti6In2O | PBE-GGA | relaxed

## Properties
Polymorph energy (0 for the lowest one) ... 0 meV/atom
Energy relative to the elements, uncorrected ... -0.73 eV/atom
Theoretical density ... 6.01 g cm⁻³
Spin magnetization ... 0.00 μB per atom
DOS(E_F) ... 11.06 states/eV/f.u.
Final energy ... -7.15 eV/atom

```
Ti6In2O
1.0
-0.2941 -3.7852 -2.9585
4.4060 2.2016 -3.3602
5.6799 -1.4127 1.1374
O Ti In
1 6 2
direct
0.0000 0.0000 0.0000
0.2673 0.8343 0.3259
0.2673 0.3259 0.8343
0.7327 0.6741 0.1657
0.2554 0.8315 0.8315
0.7446 0.1685 0.1685
0.7327 0.1657 0.6741
0.7600 0.6669 0.6669
0.2400 0.3331 0.3331
```

***

Ti2InO | PBE-GGA | relaxed

## Properties
Polymorph energy (0 for the lowest one) ... 1304 meV/atom
Energy relative to the elements, uncorrected ... 0.02 eV/atom
Theoretical density ... 5.87 g cm⁻³
Spin magnetization ... 0.00 μB per atom
DOS(E_F) ... 6.06 states/eV/f.u.
Final energy ... -5.85 eV/atom

```
Ti2InO
1.0
1.6128 -4.1687 0.4492
-0.8902 -2.3647 3.7143
-2.7859 -3.5190 -0.1914
Ti O In
2 1 1
direct
0.2500 0.2500 0.2500
0.7500 0.7500 0.7500
0.0000 0.0000 0.0000
0.5000 0.5000 0.5000
```

***

Ti5InO2 | PBE-GGA | relaxed

## Properties
Energy relative to the elements, uncorrected ... -1.09 eV/atom
Theoretical density ... 5.25 g cm⁻³
Spin magnetization ... 0.14 μB per atom
DOS(E_F) ... 9.35 states/eV/f.u.
Final energy ... -7.60 eV/atom

```
Ti5InO2
1.0
3.8751 0.0000 -1.0924
-0.3079 3.8629 -1.0924
0.1788 0.1936 8.0536
Ti O In
5 2 1
direct
0.1591 0.6591 0.3182
0.6591 0.1591 0.3182
0.0000 0.0000 0.0000
0.3409 0.8409 0.6818
0.8409 0.3409 0.6818
0.1352 0.1352 0.2703
0.8648 0.8648 0.7297
0.5000 0.5000 0.0000
```

***

Ti2InO | PBE-GGA | relaxed

## Properties
Polymorph energy (0 for the lowest one) ... 370 meV/atom
Energy relative to the elements, uncorrected ... -0.92 eV/atom
Theoretical density ... 6.70 g cm⁻³
Spin magnetization ... 0.00 μB per atom
DOS(E_F) ... 2.72 states/eV/f.u.
Final energy ... -6.79 eV/atom

```
Ti2InO
1.0
2.8041 0.0000 0.0000
0.0000 2.8041 0.0000
0.0000 0.0000 7.1397
In O Ti
1 1 2
direct
0.5000 0.5000 0.5000
0.5000 0.5000 0.0000
0.0000 0.0000 0.8171
0.0000 0.0000 0.1829
```